(a)
Entry from Alexandria via LeMat-Bulk: an optimized crystal structure of P2RuCCl (PBE-GGA).

Results
volume = 66 Å³ per cell
size of the total moment = 0.000 μB/f.u.

```
data_P2RuCCl
_chemical_formula_sum 'P2 Ru1 C1 Cl1'
_cell_length_a 3.944
_cell_length_b 3.944
_cell_length_c 4.215
_cell_angle_alpha 90.00
_cell_angle_beta 90.00
_cell_angle_gamma 90.00
_space_group_name_H-M_alt 'P 4/m m m'
_space_group_IT_number 123
_space_group_name_Hall '-P 4 2'
loop_
_atom_site_label
_atom_site_type_symbol
_atom_site_fract_x
_atom_site_fract_y
_atom_site_fract_z
P1 P 0.000 0.500 0.000
Ru1 Ru 0.000 0.000 0.500
C1 C 0.500 0.500 0.000
Cl1 Cl 0.500 0.500 0.500
```

(b)
Entry from Alexandria via LeMat-Bulk: an optimized crystal structure of P2RuCCl (PBE-GGA).

Results
volume = 101 Å³ per cell
size of the total moment = 1.368 μB/f.u.

```
data_P2RuCCl
_chemical_formula_sum 'P2 Ru1 C1 Cl1'
_cell_length_a 4.497
_cell_length_b 4.497
_cell_length_c 4.977
_cell_angle_alpha 90.00
_cell_angle_beta 90.00
_cell_angle_gamma 90.00
_space_group_name_H-M_alt 'P 4/m m m'
_space_group_IT_number 123
_space_group_name_Hall '-P 4 2'
loop_
_atom_site_label
_atom_site_type_symbol
_atom_site_fract_x
_atom_site_fract_y
_atom_site_fract_z
P1 P 0.000 0.500 0.000
Ru1 Ru 0.000 0.000 0.000
C1 C 0.500 0.500 0.500
Cl1 Cl 0.000 0.000 0.500
```

Most stable: (a). Least stable: (b).

(a)
Entry from Alexandria via LeMat-Bulk: an optimized crystal structure of P2CSCl (PBE-GGA).

Results
volume = 75 Å³ per cell
size of the total moment = 0.000 μB/f.u.

```
data_P2CSCl
_chemical_formula_sum 'P2 C1 S1 Cl1'
_cell_length_a 4.328
_cell_length_b 4.328
_cell_length_c 4.020
_cell_angle_alpha 90.00
_cell_angle_beta 90.00
_cell_angle_gamma 90.00
_space_group_name_H-M_alt 'P 4/m m m'
_space_group_IT_number 123
_space_group_name_Hall '-P 4 2'
loop_
_atom_site_label
_atom_site_type_symbol
_atom_site_fract_x
_atom_site_fract_y
_atom_site_fract_z
P1 P 0.000 0.500 0.000
C1 C 0.000 0.000 0.000
S1 S 0.000 0.000 0.500
Cl1 Cl 0.500 0.500 0.500
```

(b)
Entry from Alexandria via LeMat-Bulk: an optimized crystal structure of P2CSCl (PBE-GGA).

Results
volume = 96 Å³ per cell
size of the total moment = 0.000 μB/f.u.

```
data_P2CSCl
_chemical_formula_sum 'P2 C1 S1 Cl1'
_cell_length_a 4.663
_cell_length_b 4.663
_cell_length_c 4.398
_cell_angle_alpha 90.00
_cell_angle_beta 90.00
_cell_angle_gamma 90.00
_space_group_name_H-M_alt 'P 4/m m m'
_space_group_IT_number 123
_space_group_name_Hall '-P 4 2'
loop_
_atom_site_label
_atom_site_type_symbol
_atom_site_fract_x
_atom_site_fract_y
_atom_site_fract_z
P1 P 0.000 0.500 0.000
C1 C 0.000 0.000 0.500
S1 S 0.500 0.500 0.500
Cl1 Cl 0.500 0.500 0.000
```

Most stable: (a). Least stable: (b).

(a)
Entry from Alexandria via LeMat-Bulk: an optimized crystal structure of ScPCCl2 (PBE-GGA).

Results
volume = 126 Å³ per cell
size of the total moment = 1.273 μB/f.u.

```
data_ScPCCl2
_chemical_formula_sum 'Sc1 P1 C1 Cl2'
_cell_length_a 4.804
_cell_length_b 4.804
_cell_length_c 5.441
_cell_angle_alpha 90.00
_cell_angle_beta 90.00
_cell_angle_gamma 90.00
_space_group_name_H-M_alt 'P 4/m m m'
_space_group_IT_number 123
_space_group_name_Hall '-P 4 2'
loop_
_atom_site_label
_atom_site_type_symbol
_atom_site_fract_x
_atom_site_fract_y
_atom_site_fract_z
Sc1 Sc 0.000 0.000 0.000
P1 P 0.000 0.000 0.500
C1 C 0.500 0.500 0.500
Cl1 Cl 0.000 0.500 0.000
```

(b)
Entry from Alexandria via LeMat-Bulk: an optimized crystal structure of ScPCCl2 (PBE-GGA).

Results
volume = 81 Å³ per cell
size of the total moment = 0.035 μB/f.u.

```
data_ScPCCl2
_chemical_formula_sum 'Sc1 P1 C1 Cl2'
_cell_length_a 4.329
_cell_length_b 4.329
_cell_length_c 4.324
_cell_angle_alpha 90.00
_cell_angle_beta 90.00
_cell_angle_gamma 90.00
_space_group_name_H-M_alt 'P 4/m m m'
_space_group_IT_number 123
_space_group_name_Hall '-P 4 2'
loop_
_atom_site_label
_atom_site_type_symbol
_atom_site_fract_x
_atom_site_fract_y
_atom_site_fract_z
Sc1 Sc 0.000 0.000 0.000
P1 P 0.500 0.500 0.000
C1 C 0.500 0.500 0.500
Cl1 Cl 0.000 0.500 0.500
```

Most stable: (b). Least stable: (a).

(a)
Entry from Alexandria via LeMat-Bulk: an optimized crystal structure of SiP2CCl (PBE-GGA).

Results
volume = 76 Å³ per cell
size of the total moment = 0.000 μB/f.u.

```
data_SiP2CCl
_chemical_formula_sum 'Si1 P2 C1 Cl1'
_cell_length_a 4.021
_cell_length_b 4.021
_cell_length_c 4.730
_cell_angle_alpha 90.00
_cell_angle_beta 90.00
_cell_angle_gamma 90.00
_space_group_name_H-M_alt 'P 4/m m m'
_space_group_IT_number 123
_space_group_name_Hall '-P 4 2'
loop_
_atom_site_label
_atom_site_type_symbol
_atom_site_fract_x
_atom_site_fract_y
_atom_site_fract_z
Si1 Si 0.000 0.000 0.000
P1 P 0.000 0.500 0.500
C1 C 0.500 0.500 0.500
Cl1 Cl 0.500 0.500 0.000
```

(b)
Entry from Alexandria via LeMat-Bulk: an optimized crystal structure of SiP2CCl (PBE-GGA).

Results
volume = 95 Å³ per cell
size of the total moment = 0.381 μB/f.u.

```
data_SiP2CCl
_chemical_formula_sum 'Si1 P2 C1 Cl1'
_cell_length_a 4.593
_cell_length_b 4.593
_cell_length_c 4.491
_cell_angle_alpha 90.00
_cell_angle_beta 90.00
_cell_angle_gamma 90.00
_space_group_name_H-M_alt 'P 4/m m m'
_space_group_IT_number 123
_space_group_name_Hall '-P 4 2'
loop_
_atom_site_label
_atom_site_type_symbol
_atom_site_fract_x
_atom_site_fract_y
_atom_site_fract_z
Si1 Si 0.000 0.000 0.000
P1 P 0.000 0.500 0.000
C1 C 0.500 0.500 0.500
Cl1 Cl 0.000 0.000 0.500
```

Most stable: (a). Least stable: (b).

(a)
Entry from Alexandria via LeMat-Bulk: an optimized crystal structure of SnPCCl2 (PBE-GGA).

Results
volume = 138 Å³ per cell
size of the total moment = 1.859 μB/f.u.

```
data_SnPCCl2
_chemical_formula_sum 'Sn1 P1 C1 Cl2'
_cell_length_a 5.093
_cell_length_b 5.093
_cell_length_c 5.319
_cell_angle_alpha 90.00
_cell_angle_beta 90.00
_cell_angle_gamma 90.00
_space_group_name_H-M_alt 'P 4/m m m'
_space_group_IT_number 123
_space_group_name_Hall '-P 4 2'
loop_
_atom_site_label
_atom_site_type_symbol
_atom_site_fract_x
_atom_site_fract_y
_atom_site_fract_z
Sn1 Sn 0.000 0.000 0.000
P1 P 0.000 0.000 0.500
C1 C 0.500 0.500 0.500
Cl1 Cl 0.000 0.500 0.000
```

(b)
Entry from Alexandria via LeMat-Bulk: an optimized crystal structure of SnPCCl2 (PBE-GGA).

Results
volume = 90 Å³ per cell
size of the total moment = 0.000 μB/f.u.

```
data_SnPCCl2
_chemical_formula_sum 'Sn1 P1 C1 Cl2'
_cell_length_a 4.565
_cell_length_b 4.565
_cell_length_c 4.341
_cell_angle_alpha 90.00
_cell_angle_beta 90.00
_cell_angle_gamma 90.00
_space_group_name_H-M_alt 'P 4/m m m'
_space_group_IT_number 123
_space_group_name_Hall '-P 4 2'
loop_
_atom_site_label
_atom_site_type_symbol
_atom_site_fract_x
_atom_site_fract_y
_atom_site_fract_z
Sn1 Sn 0.000 0.000 0.000
P1 P 0.500 0.500 0.000
C1 C 0.500 0.500 0.500
Cl1 Cl 0.000 0.500 0.500
```

Most stable: (b). Least stable: (a).

(a)
Entry from Alexandria via LeMat-Bulk: an optimized crystal structure of TcP2CCl (PBE-GGA).

Results
volume = 65 Å³ per cell
size of the total moment = 0.000 μB/f.u.

```
data_TcP2CCl
_chemical_formula_sum 'Tc1 P2 C1 Cl1'
_cell_length_a 3.930
_cell_length_b 3.930
_cell_length_c 4.216
_cell_angle_alpha 90.00
_cell_angle_beta 90.00
_cell_angle_gamma 90.00
_space_group_name_H-M_alt 'P 4/m m m'
_space_group_IT_number 123
_space_group_name_Hall '-P 4 2'
loop_
_atom_site_label
_atom_site_type_symbol
_atom_site_fract_x
_atom_site_fract_y
_atom_site_fract_z
Tc1 Tc 0.000 0.000 0.000
P1 P 0.000 0.500 0.500
C1 C 0.500 0.500 0.500
Cl1 Cl 0.500 0.500 0.000
```

(b)
Entry from Alexandria via LeMat-Bulk: an optimized crystal structure of TcP2CCl (PBE-GGA).

Results
volume = 103 Å³ per cell
size of the total moment = 1.497 μB/f.u.

```
data_TcP2CCl
_chemical_formula_sum 'Tc1 P2 C1 Cl1'
_cell_length_a 4.528
_cell_length_b 4.528
_cell_length_c 5.009
_cell_angle_alpha 90.00
_cell_angle_beta 90.00
_cell_angle_gamma 90.00
_space_group_name_H-M_alt 'P 4/m m m'
_space_group_IT_number 123
_space_group_name_Hall '-P 4 2'
loop_
_atom_site_label
_atom_site_type_symbol
_atom_site_fract_x
_atom_site_fract_y
_atom_site_fract_z
Tc1 Tc 0.000 0.000 0.000
P1 P 0.000 0.500 0.000
C1 C 0.500 0.500 0.500
Cl1 Cl 0.000 0.000 0.500
```

Most stable: (a). Least stable: (b).

(a)
Entry from Alexandria via LeMat-Bulk: an optimized crystal structure of TePCCl2 (PBE-GGA).

Results
volume = 141 Å³ per cell
size of the total moment = 1.132 μB/f.u.

```
data_TePCCl2
_chemical_formula_sum 'Te1 P1 C1 Cl2'
_cell_length_a 5.175
_cell_length_b 5.175
_cell_length_c 5.281
_cell_angle_alpha 90.00
_cell_angle_beta 90.00
_cell_angle_gamma 90.00
_space_group_name_H-M_alt 'P 4/m m m'
_space_group_IT_number 123
_space_group_name_Hall '-P 4 2'
loop_
_atom_site_label
_atom_site_type_symbol
_atom_site_fract_x
_atom_site_fract_y
_atom_site_fract_z
Te1 Te 0.000 0.000 0.000
P1 P 0.000 0.000 0.500
C1 C 0.500 0.500 0.500
Cl1 Cl 0.000 0.500 0.000
```

(b)
Entry from Alexandria via LeMat-Bulk: an optimized crystal structure of TePCCl2 (PBE-GGA).

Results
volume = 87 Å³ per cell
size of the total moment = 0.000 μB/f.u.

```
data_TePCCl2
_chemical_formula_sum 'Te1 P1 C1 Cl2'
_cell_length_a 4.352
_cell_length_b 4.352
_cell_length_c 4.583
_cell_angle_alpha 90.00
_cell_angle_beta 90.00
_cell_angle_gamma 90.00
_space_group_name_H-M_alt 'P 4/m m m'
_space_group_IT_number 123
_space_group_name_Hall '-P 4 2'
loop_
_atom_site_label
_atom_site_type_symbol
_atom_site_fract_x
_atom_site_fract_y
_atom_site_fract_z
Te1 Te 0.000 0.000 0.000
P1 P 0.500 0.500 0.000
C1 C 0.500 0.500 0.500
Cl1 Cl 0.000 0.500 0.500
```

Most stable: (b). Least stable: (a).